First-principles (PBEsol) data for a geometry-optimized TaMnAs2Se structure, as listed in Alexandria.

abc: 4.9212 4.9579 4.9579
angles: 90.00 90.00 90.00
Closest atoms and distances in Å follow each position.
Positions (direct):
1 As 0.0000 0.0000 0.5000  2 Ta 2.48
2 As 0.0000 0.5000 0.0000  2 Ta 2.48
3 Mn 0.5000 0.5000 0.5000  8 As 3.49, 4 Se 3.51
4 Se 0.5000 0.0000 0.0000  2 Ta 2.46
5 Ta 0.0000 0.0000 0.0000  2 Se 2.46, 4 As 2.48

Summary:
Formation energy without anion corrections = 0.557 eV/atom
Magnetization = 4.94 Bohr magnetons per cell
Uncorrected energy = -6.7178 eV per atom

First-principles (PBEsol) data for a geometry-optimized HfSiSb2Te structure, as listed in Alexandria.

abc: 5.0344 5.0344 5.1374
angles: 90.00 90.00 90.00
Closest atoms and distances in Å follow each position.
Positions (direct):
1 Sb 0.0000 0.5000 0.0000  2 Si 2.52
2 Sb 0.5000 0.0000 0.0000  2 Si 2.52
3 Si 0.0000 0.0000 0.0000  4 Sb 2.52, 2 Te 2.57
4 Te 0.0000 0.0000 0.5000  2 Si 2.57
5 Hf 0.5000 0.5000 0.5000  4 Te 3.56, 8 Sb 3.60

Summary:
Energy relative to the lowest polymorph listed for this composition = 0.038 eV per formula unit
Formation energy without anion corrections = 0.650 eV/atom
Magnetization = 0.00 Bohr magnetons per cell
Uncorrected energy = -5.1283 eV per atom

First-principles (PBEsol) data for a geometry-optimized BaZrTi2 structure, as listed in Alexandria.

abc: 5.0261 5.0261 5.0261
angles: 60.00 60.00 60.00
Closest atoms and distances in Å follow each position.
Positions (direct):
1 Ba 0.5000 0.5000 0.5000  8 Ti 3.08
2 Zr 0.0000 0.0000 0.0000  8 Ti 3.08
3 Ti 0.2500 0.2500 0.2500  4 Ba 3.08, 4 Zr 3.08
4 Ti 0.7500 0.7500 0.7500  4 Zr 3.08, 4 Ba 3.08

Summary:
Energy of formation = 0.72 eV/atom
Magnetization = 0.00 Bohr magnetons per cell
Uncorrected energy = -6.2515 eV per atom

First-principles (PBEsol) data for a geometry-optimized Cd3Cu structure, as listed in Alexandria.

abc: 3.1108 3.1108 7.4131
angles: 90.00 90.00 90.00
Closest atoms and distances in Å follow each position.
Positions (direct):
1 Cu 0.5000 0.5000 0.0000  8 Cd 2.72
2 Cd 0.0000 0.0000 0.7841  4 Cu 2.72, 4 Cd 3.05
3 Cd 0.0000 0.0000 0.2159  4 Cu 2.72, 4 Cd 3.05
4 Cd 0.5000 0.5000 0.5000  12 Cd 3.05-3.11

Summary:
Energy of formation = 0.05 eV/atom
Magnetization = 0.00 Bohr magnetons per cell
Uncorrected energy = -1.9288 eV per atom

First-principles (PBEsol) data for a geometry-optimized K4Na2TeO6 structure, as listed in Alexandria.

abc: 6.6470 6.6313 9.9443
angles: 90.00 90.00 114.00
Closest atoms and distances in Å follow each position.
Positions (direct):
1 K 0.2462 0.9299 0.5165  5 O 2.64-2.92
2 K 0.9840 0.4807 0.6770  6 O 2.65-2.82, 1 Na 2.84
3 K 0.2538 0.5701 0.0165  5 O 2.64-2.92
4 K 0.0160 0.5193 0.3230  6 O 2.65-2.82, 1 Na 2.84
5 K 0.4840 0.9807 0.8230  6 O 2.65-2.82, 1 Na 2.84
6 K 0.7462 0.4299 0.9835  5 O 2.64-2.92
7 K 0.5160 0.0193 0.1770  6 O 2.65-2.82, 1 Na 2.84
8 K 0.7538 0.0701 0.4835  5 O 2.64-2.92
9 Na 0.7824 0.7977 0.7377  4 O 2.24-2.44
10 Na 0.2176 0.2023 0.2623  4 O 2.24-2.44
11 Na 0.7176 0.7023 0.2377  4 O 2.24-2.44
12 Na 0.2824 0.2977 0.7623  4 O 2.24-2.44
13 Te 0.0000 0.0000 0.0000  6 O 1.98
14 Te 0.5000 0.5000 0.5000  6 O 1.98
15 O 0.9347 0.1569 0.8479  1 Te 1.98
16 O 0.0521 0.7964 0.8722  1 Te 1.98
17 O 0.5521 0.2964 0.6278  1 Te 1.98
18 O 0.6847 0.7995 0.0091  1 Te 1.98
19 O 0.1847 0.2995 0.4909  1 Te 1.98
20 O 0.4347 0.6569 0.6521  1 Te 1.98
21 O 0.3153 0.2005 0.9909  1 Te 1.98
22 O 0.4479 0.7036 0.3722  1 Te 1.98
23 O 0.0653 0.8431 0.1521  1 Te 1.98
24 O 0.5653 0.3431 0.3479  1 Te 1.98
25 O 0.8153 0.7005 0.5091  1 Te 1.98
26 O 0.9479 0.2036 0.1278  1 Te 1.98

Summary:
Formation energy without anion corrections = -1.463 eV/atom
Magnetization = 0.00 Bohr magnetons per cell
Uncorrected energy = -4.7214 eV per atom

First-principles (PBEsol) data for a geometry-optimized PIrW2 structure, as listed in Alexandria.

abc: 2.8035 2.8035 8.5709
angles: 80.59 80.59 60.00
Closest atoms and distances in Å follow each position.
Positions (direct):
1 Ir 0.5000 0.5000 0.5000  6 W 2.75, 6 Ir 2.80
2 P 0.0000 0.0000 0.0000  6 W 2.56, 6 P 2.80
3 W 0.2546 0.2546 0.2363  3 P 2.56, 3 Ir 2.75, 6 W 2.80
4 W 0.7454 0.7454 0.7637  3 P 2.56, 3 Ir 2.75, 6 W 2.80

Summary:
Energy of formation = 0.01 eV/atom
Magnetization = 0.00 Bohr magnetons per cell
Uncorrected energy = -10.7959 eV per atom

First-principles (PBEsol) data for a geometry-optimized Ti2InNi structure, as listed in Alexandria.

abc: 4.4639 4.4639 4.4639
angles: 60.00 60.00 60.00
Closest atoms and distances in Å follow each position.
Positions (direct):
1 Ti 0.0000 0.0000 0.0000  4 In 2.73, 4 Ti 2.73
2 Ti 0.7500 0.7500 0.7500  4 Ti 2.73, 4 Ni 2.73
3 In 0.2500 0.2500 0.2500  4 Ni 2.73, 4 Ti 2.73
4 Ni 0.5000 0.5000 0.5000  4 Ti 2.73, 4 In 2.73

Summary:
Energy of formation = -0.11 eV/atom
Magnetization = 3.00 Bohr magnetons per cell
Uncorrected energy = -6.5561 eV per atom

First-principles (PBEsol) data for a geometry-optimized Na3VP3NO9 structure, as listed in Alexandria.

abc: 9.4418 9.4418 9.4418
angles: 90.00 90.00 90.00
Closest atoms and distances in Å follow each position.
Positions (direct):
1 Na 0.4905 0.9905 0.5095  6 O 2.54-2.57
2 Na 0.9905 0.5095 0.4905  6 O 2.54-2.57
3 Na 0.5095 0.4905 0.9905  6 O 2.54-2.57
4 Na 0.0095 0.0095 0.0095  6 O 2.54-2.57
5 Na 0.1073 0.6073 0.8927  6 O 2.33-2.44
6 Na 0.6073 0.8927 0.1073  6 O 2.33-2.44
7 Na 0.8927 0.1073 0.6073  6 O 2.33-2.44
8 Na 0.3927 0.3927 0.3927  6 O 2.33-2.44
9 Na 0.1986 0.3014 0.6986  3 O 2.36
10 Na 0.3014 0.6986 0.1986  3 O 2.36
11 Na 0.8014 0.8014 0.8014  3 O 2.36
12 Na 0.6986 0.1986 0.3014  3 O 2.36
13 V 0.0802 0.9198 0.4198  6 O 1.98-1.99
14 V 0.5802 0.5802 0.5802  6 O 1.98-1.99
15 V 0.4198 0.0802 0.9198  6 O 1.98-1.99
16 V 0.9198 0.4198 0.0802  6 O 1.98-1.99
17 P 0.2556 0.6679 0.5836  3 O 1.51-1.54
18 P 0.4164 0.7556 0.8321  3 O 1.51-1.54
19 P 0.1679 0.9164 0.7444  3 O 1.51-1.54
20 P 0.7556 0.8321 0.4164  3 O 1.51-1.54
21 P 0.9164 0.7444 0.1679  3 O 1.51-1.54
22 P 0.6679 0.5836 0.2556  3 O 1.51-1.54
23 P 0.7444 0.1679 0.9164  3 O 1.51-1.54
24 P 0.5836 0.2556 0.6679  3 O 1.51-1.54
25 P 0.8321 0.4164 0.7556  3 O 1.51-1.54
26 P 0.2444 0.3321 0.0836  3 O 1.51-1.54
27 P 0.0836 0.2444 0.3321  3 O 1.51-1.54
28 P 0.3321 0.0836 0.2444  3 O 1.51-1.54
29 N 0.3037 0.8037 0.6963  3 P 1.73
30 N 0.8037 0.6963 0.3037  3 P 1.73
31 N 0.6963 0.3037 0.8037  3 P 1.73
32 N 0.1963 0.1963 0.1963  3 P 1.73
33 O 0.1497 0.7294 0.4754  1 P 1.54
34 O 0.5246 0.6497 0.7706  1 P 1.54
35 O 0.2294 0.0246 0.8503  1 P 1.54
36 O 0.6497 0.7706 0.5246  1 P 1.54
37 O 0.0246 0.8503 0.2294  1 P 1.54
38 O 0.7294 0.4754 0.1497  1 P 1.54
39 O 0.8503 0.2294 0.0246  1 P 1.54
40 O 0.4754 0.1497 0.7294  1 P 1.54
41 O 0.7706 0.5246 0.6497  1 P 1.54
42 O 0.3503 0.2706 0.9754  1 P 1.54
43 O 0.9754 0.3503 0.2706  1 P 1.54
44 O 0.2706 0.9754 0.3503  1 P 1.54
45 O 0.3905 0.6269 0.5022  1 P 1.54
46 O 0.4978 0.8905 0.8731  1 P 1.54
47 O 0.1269 0.9978 0.6095  1 P 1.54
48 O 0.8905 0.8731 0.4978  1 P 1.54
49 O 0.9978 0.6095 0.1269  1 P 1.54
50 O 0.6269 0.5022 0.3905  1 P 1.54
51 O 0.6095 0.1269 0.9978  1 P 1.54
52 O 0.5022 0.3905 0.6269  1 P 1.54
53 O 0.8731 0.4978 0.8905  1 P 1.54
54 O 0.1095 0.3731 0.0022  1 P 1.54
55 O 0.0022 0.1095 0.3731  1 P 1.54
56 O 0.3731 0.0022 0.1095  1 P 1.54
57 O 0.1892 0.5490 0.6675  1 P 1.51
58 O 0.3325 0.6892 0.9510  1 P 1.51
59 O 0.0490 0.8325 0.8108  1 P 1.51
60 O 0.6892 0.9510 0.3325  1 P 1.51
61 O 0.8325 0.8108 0.0490  1 P 1.51
62 O 0.5490 0.6675 0.1892  1 P 1.51
63 O 0.8108 0.0490 0.8325  1 P 1.51
64 O 0.6675 0.1892 0.5490  1 P 1.51
65 O 0.9510 0.3325 0.6892  1 P 1.51
66 O 0.3108 0.4510 0.1675  1 P 1.51
67 O 0.1675 0.3108 0.4510  1 P 1.51
68 O 0.4510 0.1675 0.3108  1 P 1.51

Summary:
Formation energy without anion corrections = -2.119 eV/atom
Magnetization = 8.00 Bohr magnetons per cell
Uncorrected energy = -7.2356 eV per atom

First-principles (PBEsol) data for a geometry-optimized TlV3CdCu4O13 structure, as listed in Alexandria.

abc: 6.2287 8.3371 10.6768
angles: 96.93 90.00 90.00
Closest atoms and distances in Å follow each position.
Positions (direct):
1 Tl 0.2500 0.5108 0.8991  6 O 2.75-3.05
2 Tl 0.7500 0.4892 0.1009  6 O 2.75-3.05
3 V 0.2500 0.1416 0.0092  3 O 1.66-1.70
4 V 0.7500 0.8584 0.9908  3 O 1.66-1.70
5 V 0.2500 0.4665 0.3004  4 O 1.67-1.75
6 V 0.7500 0.5335 0.6996  4 O 1.67-1.75
7 V 0.2500 0.1753 0.6215  4 O 1.67-1.79
8 V 0.7500 0.8247 0.3785  4 O 1.67-1.79
9 Cd 0.2500 0.8058 0.1364  6 O 2.21-2.46
10 Cd 0.7500 0.1942 0.8636  6 O 2.21-2.46
11 Cu 0.9966 0.8886 0.7169  4 O 1.89-1.95
12 Cu 0.0034 0.1114 0.2831  4 O 1.89-1.95
13 Cu 0.4966 0.1114 0.2831  4 O 1.89-1.95
14 Cu 0.5034 0.8886 0.7169  4 O 1.89-1.95
15 Cu 0.2500 0.8574 0.4392  3 O 1.92-1.96
16 Cu 0.7500 0.1426 0.5608  3 O 1.92-1.96
17 Cu 0.2500 0.5987 0.6100  5 O 1.88-2.04
18 Cu 0.7500 0.4013 0.3900  5 O 1.88-2.04
19 O 0.2500 0.3754 0.6211  1 V 1.67
20 O 0.7500 0.6246 0.3789  1 V 1.67
21 O 0.2500 0.0896 0.4672  1 V 1.71
22 O 0.7500 0.9104 0.5328  1 V 1.71
23 O 0.2500 0.6239 0.4221  1 V 1.73, 1 Cu 1.93
24 O 0.7500 0.3761 0.5779  1 V 1.73, 1 Cu 1.93
25 O 0.9920 0.8835 0.3069  1 V 1.79, 1 Cu 1.95
26 O 0.0080 0.1165 0.6931  1 V 1.79, 1 Cu 1.95
27 O 0.4920 0.1165 0.6931  1 V 1.79, 1 Cu 1.95
28 O 0.5080 0.8835 0.3069  1 V 1.79, 1 Cu 1.95
29 O 0.2500 0.8431 0.6209  4 Cu 1.89-2.03
30 O 0.7500 0.1569 0.3791  4 Cu 1.89-2.03
31 O 0.2500 0.9775 0.9043  1 V 1.66
32 O 0.7500 0.0225 0.0957  1 V 1.66
33 O 0.2500 0.0800 0.1738  1 V 1.89, 2 Cu 1.93
34 O 0.7500 0.9200 0.8262  1 V 1.89, 2 Cu 1.93
35 O 0.0332 0.2574 0.9841  1 V 1.70
36 O 0.9668 0.7426 0.0159  1 V 1.70
37 O 0.5332 0.7426 0.0159  1 V 1.70
38 O 0.4668 0.2574 0.9841  1 V 1.70
39 O 0.2500 0.5473 0.1643  1 V 1.67
40 O 0.7500 0.4527 0.8357  1 V 1.67
41 O 0.5244 0.6576 0.6980  1 V 1.75, 1 Cu 1.92
42 O 0.4756 0.3424 0.3020  1 V 1.75, 1 Cu 1.92
43 O 0.0244 0.3424 0.3020  1 V 1.75, 1 Cu 1.92
44 O 0.9756 0.6576 0.6980  1 V 1.75, 1 Cu 1.92

Summary:
Formation energy without anion corrections = -1.466 eV/atom
Magnetization = 4.02 Bohr magnetons per cell
Uncorrected energy = -6.8433 eV per atom

First-principles (PBEsol) data for a geometry-optimized BaNiPd3 structure, as listed in Alexandria.

abc: 5.1984 5.1984 5.1984
angles: 90.00 90.00 90.00
Closest atoms and distances in Å follow each position.
Positions (direct):
1 Ni 0.5000 0.5000 0.5000  12 Pd 3.68
2 Ba 0.0000 0.0000 0.0000  6 Pd 2.60
3 Pd 0.0000 0.5000 0.0000  2 Ba 2.60
4 Pd 0.0000 0.0000 0.5000  2 Ba 2.60
5 Pd 0.5000 0.0000 0.0000  2 Ba 2.60

Summary:
Energy of formation = 1.75 eV/atom
Magnetization = 0.85 Bohr magnetons per cell
Uncorrected energy = -3.4911 eV per atom

First-principles (PBEsol) data for a geometry-optimized Mg3Cd structure, as listed in Alexandria.

abc: 5.0258 6.2702 6.2705
angles: 60.00 90.00 90.00
Closest atoms and distances in Å follow each position.
Positions (direct):
1 Mg 0.7500 0.0841 0.8318  10 Mg 3.09-3.16, 2 Cd 3.14
2 Mg 0.7500 0.0898 0.3248  4 Cd 3.06-3.15, 8 Mg 3.09-3.16
3 Mg 0.7500 0.5853 0.3248  4 Cd 3.06-3.15, 8 Mg 3.09-3.16
4 Mg 0.2500 0.9159 0.1682  10 Mg 3.09-3.16, 2 Cd 3.14
5 Mg 0.2500 0.9102 0.6752  4 Cd 3.06-3.15, 8 Mg 3.09-3.16
6 Mg 0.2500 0.4147 0.6752  4 Cd 3.06-3.15, 8 Mg 3.09-3.16
7 Cd 0.7500 0.5898 0.8203  10 Mg 3.06-3.15, 2 Cd 3.18
8 Cd 0.2500 0.4102 0.1797  10 Mg 3.06-3.15, 2 Cd 3.18

Summary:
Energy of formation = -0.06 eV/atom
Magnetization = 0.00 Bohr magnetons per cell
Uncorrected energy = -1.6489 eV per atom

First-principles (PBEsol) data for a geometry-optimized Ir5Pt4 structure, as listed in Alexandria.

abc: 3.8661 6.1179 6.1179
angles: 84.27 71.58 71.58
Closest atoms and distances in Å follow each position.
Positions (direct):
1 Ir 0.0000 0.0000 0.0000  4 Pt 2.69, 8 Ir 2.71
2 Ir 0.6635 0.6730 0.0000  6 Ir 2.68-2.79, 6 Pt 2.71-2.76
3 Ir 0.3365 0.0000 0.3270  6 Ir 2.68-2.79, 6 Pt 2.71-2.76
4 Ir 0.6635 0.0000 0.6730  6 Ir 2.68-2.79, 6 Pt 2.71-2.76
5 Ir 0.3365 0.3270 0.0000  6 Ir 2.68-2.79, 6 Pt 2.71-2.76
6 Pt 0.6718 0.3282 0.3282  7 Ir 2.69-2.76, 5 Pt 2.78-2.82
7 Pt 0.3282 0.6718 0.6718  7 Ir 2.69-2.76, 5 Pt 2.78-2.82
8 Pt 0.0000 0.3282 0.6718  7 Ir 2.69-2.76, 5 Pt 2.78-2.82
9 Pt 0.0000 0.6718 0.3282  7 Ir 2.69-2.76, 5 Pt 2.78-2.82

Summary:
Energy of formation = 0.08 eV/atom
Magnetization = 0.00 Bohr magnetons per cell
Uncorrected energy = -8.4765 eV per atom